No. 1
This record from OQMD via LeMat-Bulk describes a geometry-optimized Nb3B2Sb structure. The functional is PBE.

abc: 3.371 3.371 18.449
angles: 90.00 90.00 120.00
Positions (direct):
B: 0.333 0.667 0.072
B: 0.333 0.667 0.428
B: 0.667 0.333 0.572
B: 0.667 0.333 0.928
Nb: 0.000 0.000 0.000
Nb: 0.667 0.333 0.135
Nb: 0.667 0.333 0.365
Nb: 0.000 0.000 0.500
Nb: 0.333 0.667 0.635
Nb: 0.333 0.667 0.865
Sb: 0.000 0.000 0.250
Sb: 0.000 0.000 0.750

=====

No. 2
This record from OQMD via LeMat-Bulk describes a geometry-optimized Nb2B2Sb structure. The functional is PBE.

Results
relative energy among the computed polymorphs: 0.0491 eV per atom

abc: 7.233 7.233 3.253
angles: 90.00 90.00 155.58
Positions (direct):
B: 0.778 0.222 0.000
B: 0.222 0.778 0.000
Nb: 0.654 0.346 0.500
Nb: 0.346 0.654 0.500
Sb: 0.000 0.000 0.000

=====

No. 3
This record from OQMD via LeMat-Bulk describes a geometry-optimized Nb2BSb structure. The functional is PBE.

abc: 3.428 3.428 13.075
angles: 90.00 90.00 120.00
Positions (direct):
B: 0.000 0.000 0.000
B: 0.000 0.000 0.500
Nb: 0.333 0.667 0.090
Nb: 0.333 0.667 0.410
Nb: 0.667 0.333 0.590
Nb: 0.667 0.333 0.910
Sb: 0.667 0.333 0.250
Sb: 0.333 0.667 0.750

=====

No. 4
This record from OQMD via LeMat-Bulk describes a geometry-optimized ScNbB4 structure. The functional is PBE.

abc: 3.098 3.098 6.892
angles: 90.00 90.00 120.00
Positions (direct):
B: 0.667 0.333 0.246
B: 0.333 0.667 0.246
B: 0.667 0.333 0.754
B: 0.333 0.667 0.754
Nb: 0.000 0.000 0.000
Sc: 0.000 0.000 0.500

=====

Magnetization (μB per formula unit)
0.0; 0.0; 0.0; 0.0
Total DFT energy (no corrections) (eV per atom)
-8.4519; -7.8341; -8.2089; -8.0675
Calculated density (g/cm3)
7.72; 7.77; 7.94; 5.25